Record 1
VASP calculation (PBE-GGA) on a relaxed structure of Tm2SiO5.

a = 10.0329 Å, b = 3.6126 Å, c = 10.7313 Å
α = 90.00°, β = 90.00°, γ = 90.00°
With the nearest neighbours (Å) after each atom.
Fractional positions:
1 Tm 0.1036 0.2500 0.2164  7 O 2.22-2.42
2 Tm 0.1392 0.2500 0.5518  7 O 2.25-2.33
3 Tm 0.3608 0.7500 0.0518  7 O 2.25-2.33
4 Tm 0.3964 0.7500 0.7164  7 O 2.22-2.42
5 Tm 0.6036 0.2500 0.2836  7 O 2.22-2.42
6 Tm 0.6392 0.2500 0.9482  7 O 2.25-2.33
7 Tm 0.8608 0.7500 0.4482  7 O 2.25-2.33
8 Tm 0.8964 0.7500 0.7836  7 O 2.22-2.42
9 Si 0.1800 0.2500 0.8731  3 O 1.64-1.72
10 Si 0.3200 0.7500 0.3731  3 O 1.64-1.72
11 Si 0.6800 0.2500 0.6269  3 O 1.64-1.72
12 Si 0.8200 0.7500 0.1269  3 O 1.64-1.72
13 O 0.0089 0.7500 0.6059  4 Tm 2.22-2.30
14 O 0.0195 0.2500 0.8449  1 Si 1.64
15 O 0.2223 0.2500 0.0272  1 Si 1.71
16 O 0.2251 0.7500 0.8756  2 Si 1.86
17 O 0.2377 0.7500 0.2323  1 Si 1.72
18 O 0.2623 0.2500 0.7323  1 Si 1.72
19 O 0.2749 0.2500 0.3756  2 Si 1.86
20 O 0.2777 0.7500 0.5272  1 Si 1.71
21 O 0.4805 0.7500 0.3449  1 Si 1.64
22 O 0.4911 0.2500 0.1059  4 Tm 2.22-2.30
23 O 0.5089 0.7500 0.8941  4 Tm 2.22-2.30
24 O 0.5195 0.2500 0.6551  1 Si 1.64
25 O 0.7223 0.2500 0.4728  1 Si 1.71
26 O 0.7251 0.7500 0.6244  2 Si 1.86
27 O 0.7377 0.7500 0.2677  1 Si 1.72
28 O 0.7623 0.2500 0.7677  1 Si 1.72
29 O 0.7749 0.2500 0.1244  2 Si 1.86
30 O 0.7777 0.7500 0.9728  1 Si 1.71
31 O 0.9805 0.7500 0.1551  1 Si 1.64
32 O 0.9911 0.2500 0.3941  4 Tm 2.22-2.30

- Crystal system: orthorhombic
- ΔE_f (raw): -3.35 eV/atom
- Excess energy over the best structure of this formula in the dataset: 48 meV/atom

=====

Record 2
VASP calculation (PBE-GGA) on a relaxed structure of Tm2SiO5.

a = 9.1632 Å, b = 6.6857 Å, c = 6.7048 Å
α = 90.00°, β = 101.11°, γ = 90.00°
With the nearest neighbours (Å) after each atom.
Fractional positions:
1 Tm 0.0343 0.1179 0.2279  6 O 2.19-2.41
2 Tm 0.0343 0.3821 0.7279  6 O 2.19-2.41
3 Tm 0.3532 0.1416 0.0006  7 O 2.22-2.41
4 Tm 0.3532 0.3584 0.5006  7 O 2.22-2.41
5 Tm 0.6468 0.6416 0.4994  7 O 2.22-2.41
6 Tm 0.6468 0.8584 0.9994  7 O 2.22-2.41
7 Tm 0.9657 0.6179 0.2721  6 O 2.19-2.41
8 Tm 0.9657 0.8821 0.7721  6 O 2.19-2.41
9 Si 0.2973 0.5971 0.9941  4 O 1.63-1.68
10 Si 0.2973 0.9029 0.4941  4 O 1.63-1.68
11 Si 0.7027 0.0971 0.5059  4 O 1.63-1.68
12 Si 0.7027 0.4029 0.0059  4 O 1.63-1.68
13 O 0.1069 0.1224 0.9248  4 Tm 2.19-2.26
14 O 0.1069 0.3776 0.4248  4 Tm 2.19-2.26
15 O 0.1152 0.6464 0.9672  1 Si 1.68
16 O 0.1152 0.8536 0.4672  1 Si 1.68
17 O 0.2897 0.0614 0.2982  1 Si 1.68
18 O 0.2897 0.4386 0.7982  1 Si 1.68
19 O 0.3511 0.0638 0.6778  1 Si 1.64
20 O 0.3511 0.4362 0.1778  1 Si 1.64
21 O 0.4000 0.7039 0.4999  1 Si 1.63
22 O 0.4000 0.7961 0.9999  1 Si 1.63
23 O 0.6000 0.2039 0.0001  1 Si 1.63
24 O 0.6000 0.2961 0.5001  1 Si 1.63
25 O 0.6489 0.5638 0.8222  1 Si 1.64
26 O 0.6489 0.9362 0.3222  1 Si 1.64
27 O 0.7103 0.5614 0.2018  1 Si 1.68
28 O 0.7103 0.9386 0.7018  1 Si 1.68
29 O 0.8848 0.1464 0.5328  1 Si 1.68
30 O 0.8848 0.3536 0.0328  1 Si 1.68
31 O 0.8931 0.6224 0.5752  4 Tm 2.19-2.26
32 O 0.8931 0.8776 0.0752  4 Tm 2.19-2.26

- Crystal system: monoclinic
- ΔE_f (raw): -3.39 eV/atom
- Excess energy over the best structure of this formula in the dataset: 0 meV/atom

=====

Record 3
VASP calculation (PBE-GGA) on a relaxed structure of Tm3SiO6.

a = 7.0109 Å, b = 7.0109 Å, c = 5.2620 Å
α = 90.00°, β = 90.00°, γ = 101.08°
With the nearest neighbours (Å) after each atom.
Fractional positions:
1 Tm 0.1006 0.8994 0.5000  7 O 2.19-2.45
2 Tm 0.2083 0.4057 0.4410  4 O 2.17-2.40
3 Tm 0.4057 0.2083 0.9410  4 O 2.17-2.40
4 Tm 0.5943 0.7917 0.4410  4 O 2.17-2.40
5 Tm 0.7917 0.5943 0.9410  4 O 2.17-2.40
6 Tm 0.8994 0.1006 0.0000  7 O 2.19-2.45
7 Si 0.3112 0.6888 0.9172  4 O 1.67-1.70
8 Si 0.6888 0.3112 0.4172  4 O 1.67-1.70
9 O 0.0976 0.6147 0.7670  1 Si 1.68
10 O 0.1337 0.1761 0.7207  4 Tm 2.17-2.23
11 O 0.1761 0.1337 0.2207  4 Tm 2.17-2.23
12 O 0.2847 0.7153 0.2305  1 Si 1.67
13 O 0.3853 0.9024 0.7670  1 Si 1.68
14 O 0.4535 0.5465 0.7784  1 Si 1.70
15 O 0.5465 0.4535 0.2784  1 Si 1.70
16 O 0.6147 0.0976 0.2670  1 Si 1.68
17 O 0.7153 0.2847 0.7305  1 Si 1.67
18 O 0.8239 0.8663 0.7207  4 Tm 2.17-2.23
19 O 0.8663 0.8239 0.2207  4 Tm 2.17-2.23
20 O 0.9024 0.3853 0.2670  1 Si 1.68

- Crystal system: orthorhombic
- ΔE_f (raw): -3.22 eV/atom

=====

Record 4
VASP calculation (PBE-GGA) on a relaxed structure of Tm4Si2O.

a = 4.3937 Å, b = 4.3937 Å, c = 15.3746 Å
α = 90.00°, β = 90.00°, γ = 90.00°
With the nearest neighbours (Å) after each atom.
Fractional positions:
1 Tm 0.0000 0.0000 0.1773  1 O 2.73, 1 Si 2.88
2 Tm 0.0000 0.0000 0.8227  1 O 2.73, 1 Si 2.88
3 Tm 0.0000 0.5000 0.0000  2 O 2.20
4 Tm 0.0000 0.5000 0.5000  2 O 2.20
5 Tm 0.5000 0.0000 0.0000  2 O 2.20
6 Tm 0.5000 0.0000 0.5000  2 O 2.20
7 Tm 0.5000 0.5000 0.3227  1 O 2.73, 1 Si 2.88
8 Tm 0.5000 0.5000 0.6773  1 O 2.73, 1 Si 2.88
9 Si 0.0000 0.0000 0.3643  9 Tm 2.88-3.17
10 Si 0.0000 0.0000 0.6357  9 Tm 2.88-3.17
11 Si 0.5000 0.5000 0.1357  9 Tm 2.88-3.17
12 Si 0.5000 0.5000 0.8643  9 Tm 2.88-3.17
13 O 0.0000 0.0000 0.0000  4 Tm 2.20
14 O 0.5000 0.5000 0.5000  4 Tm 2.20

- Crystal system: tetragonal
- ΔE_f (raw): -1.24 eV/atom

=====

Record 5
VASP calculation (PBE-GGA) on a relaxed structure of Tm3Si5O12.

a = 10.7066 Å, b = 10.7066 Å, c = 10.7066 Å
α = 109.47°, β = 109.47°, γ = 109.47°
With the nearest neighbours (Å) after each atom.
Fractional positions:
1 Tm 0.1250 0.2500 0.3750  8 O 2.40-2.45
2 Tm 0.1250 0.3750 0.7500  8 O 2.40-2.45
3 Tm 0.2500 0.3750 0.1250  8 O 2.40-2.45
4 Tm 0.2500 0.8750 0.6250  8 O 2.40-2.45
5 Tm 0.3750 0.1250 0.2500  8 O 2.40-2.45
6 Tm 0.3750 0.7500 0.1250  8 O 2.40-2.45
7 Tm 0.6250 0.2500 0.8750  8 O 2.40-2.45
8 Tm 0.6250 0.8750 0.7500  8 O 2.40-2.45
9 Tm 0.7500 0.1250 0.3750  8 O 2.40-2.45
10 Tm 0.7500 0.6250 0.8750  8 O 2.40-2.45
11 Tm 0.8750 0.6250 0.2500  8 O 2.40-2.45
12 Tm 0.8750 0.7500 0.6250  8 O 2.40-2.45
13 Si 0.0000 0.0000 0.0000  6 O 2.24
14 Si 0.0000 0.0000 0.5000  6 O 2.24
15 Si 0.0000 0.5000 0.0000  6 O 2.24
16 Si 0.0000 0.5000 0.5000  6 O 2.24
17 Si 0.1250 0.7500 0.8750  4 O 1.66
18 Si 0.1250 0.8750 0.2500  4 O 1.66
19 Si 0.2500 0.1250 0.8750  4 O 1.66
20 Si 0.2500 0.6250 0.3750  4 O 1.66
21 Si 0.3750 0.2500 0.6250  4 O 1.66
22 Si 0.3750 0.6250 0.7500  4 O 1.66
23 Si 0.5000 0.0000 0.0000  6 O 2.24
24 Si 0.5000 0.0000 0.5000  6 O 2.24
25 Si 0.5000 0.5000 0.0000  6 O 2.24
26 Si 0.5000 0.5000 0.5000  6 O 2.24
27 Si 0.6250 0.3750 0.2500  4 O 1.66
28 Si 0.6250 0.7500 0.3750  4 O 1.66
29 Si 0.7500 0.3750 0.6250  4 O 1.66
30 Si 0.7500 0.8750 0.1250  4 O 1.66
31 Si 0.8750 0.1250 0.7500  4 O 1.66
32 Si 0.8750 0.2500 0.1250  4 O 1.66
33 O 0.0215 0.2268 0.1272  1 Si 1.66
34 O 0.0215 0.2947 0.8942  1 Si 1.66
35 O 0.0995 0.7268 0.7053  1 Si 1.66
36 O 0.0995 0.8728 0.3942  1 Si 1.66
37 O 0.1058 0.6272 0.4005  1 Si 1.66
38 O 0.1058 0.9785 0.7053  1 Si 1.66
39 O 0.1272 0.0215 0.2268  1 Si 1.66
40 O 0.1272 0.6058 0.9005  1 Si 1.66
41 O 0.2053 0.2268 0.5995  1 Si 1.66
42 O 0.2053 0.4785 0.6058  1 Si 1.66
43 O 0.2268 0.1272 0.0215  1 Si 1.66
44 O 0.2268 0.5995 0.2053  1 Si 1.66
45 O 0.2732 0.2947 0.9005  1 Si 1.66
46 O 0.2732 0.4785 0.3728  1 Si 1.66
47 O 0.2947 0.8942 0.0215  1 Si 1.66
48 O 0.2947 0.9005 0.2732  1 Si 1.66
49 O 0.3728 0.2732 0.4785  1 Si 1.66
50 O 0.3728 0.5995 0.8942  1 Si 1.66
51 O 0.3942 0.0995 0.8728  1 Si 1.66
52 O 0.3942 0.7947 0.5215  1 Si 1.66
53 O 0.4005 0.1058 0.6272  1 Si 1.66
54 O 0.4005 0.7947 0.7732  1 Si 1.66
55 O 0.4785 0.3728 0.2732  1 Si 1.66
56 O 0.4785 0.6058 0.2053  1 Si 1.66
57 O 0.5215 0.3942 0.7947  1 Si 1.66
58 O 0.5215 0.6272 0.7268  1 Si 1.66
59 O 0.5995 0.2053 0.2268  1 Si 1.66
60 O 0.5995 0.8942 0.3728  1 Si 1.66
61 O 0.6058 0.2053 0.4785  1 Si 1.66
62 O 0.6058 0.9005 0.1272  1 Si 1.66
63 O 0.6272 0.4005 0.1058  1 Si 1.66
64 O 0.6272 0.7268 0.5215  1 Si 1.66
65 O 0.7053 0.0995 0.7268  1 Si 1.66
66 O 0.7053 0.1058 0.9785  1 Si 1.66
67 O 0.7268 0.5215 0.6272  1 Si 1.66
68 O 0.7268 0.7053 0.0995  1 Si 1.66
69 O 0.7732 0.4005 0.7947  1 Si 1.66
70 O 0.7732 0.8728 0.9785  1 Si 1.66
71 O 0.7947 0.5215 0.3942  1 Si 1.66
72 O 0.7947 0.7732 0.4005  1 Si 1.66
73 O 0.8728 0.3942 0.0995  1 Si 1.66
74 O 0.8728 0.9785 0.7732  1 Si 1.66
75 O 0.8942 0.0215 0.2947  1 Si 1.66
76 O 0.8942 0.3728 0.5995  1 Si 1.66
77 O 0.9005 0.1272 0.6058  1 Si 1.66
78 O 0.9005 0.2732 0.2947  1 Si 1.66
79 O 0.9785 0.7053 0.1058  1 Si 1.66
80 O 0.9785 0.7732 0.8728  1 Si 1.66

- Crystal system: cubic
- ΔE_f (raw): -2.52 eV/atom

=====

Record 6
VASP calculation (PBE-GGA) on a relaxed structure of Tm2SiO5.

a = 5.6707 Å, b = 5.6707 Å, c = 9.9419 Å
α = 90.00°, β = 90.00°, γ = 139.06°
With the nearest neighbours (Å) after each atom.
Fractional positions:
1 Tm 0.1416 0.8584 0.5748  6 O 2.14-2.39
2 Tm 0.1416 0.8584 0.9252  6 O 2.14-2.39
3 Tm 0.8584 0.1416 0.0748  6 O 2.14-2.39
4 Tm 0.8584 0.1416 0.4252  6 O 2.14-2.39
5 Si 0.1686 0.8314 0.2500  4 O 1.73-1.86
6 Si 0.8314 0.1686 0.7500  4 O 1.73-1.86
7 O 0.0541 0.9459 0.1258  1 Si 1.73
8 O 0.0541 0.9459 0.3742  1 Si 1.73
9 O 0.2853 0.7147 0.1105  1 Si 1.86
10 O 0.2853 0.7147 0.3895  1 Si 1.86
11 O 0.2903 0.7097 0.7500  2 Si 2.03
12 O 0.7097 0.2903 0.2500  2 Si 2.03
13 O 0.7147 0.2853 0.6105  1 Si 1.86
14 O 0.7147 0.2853 0.8895  1 Si 1.86
15 O 0.9459 0.0541 0.6258  1 Si 1.73
16 O 0.9459 0.0541 0.8742  1 Si 1.73

- Crystal system: orthorhombic
- ΔE_f (raw): -3.14 eV/atom
- Excess energy over the best structure of this formula in the dataset: 250 meV/atom

=====

Record 7
VASP calculation (PBE-GGA) on a relaxed structure of TmSiO.

a = 3.4151 Å, b = 3.4151 Å, c = 10.6774 Å
α = 90.00°, β = 90.00°, γ = 120.00°
With the nearest neighbours (Å) after each atom.
Fractional positions:
1 Tm 0.0000 0.0000 0.2112  3 O 2.20
2 Tm 0.0000 0.0000 0.7888  3 O 2.20
3 Si 0.3333 0.6667 0.0000  6 Tm 3.00, 2 O 3.23
4 Si 0.3333 0.6667 0.5000  2 O 2.11
5 O 0.3333 0.6667 0.3025  1 Si 2.11, 3 Tm 2.20
6 O 0.3333 0.6667 0.6975  1 Si 2.11, 3 Tm 2.20

- Crystal system: hexagonal
- ΔE_f (raw): -1.50 eV/atom